(1)
The following is a DFT calculation (PBE) of crystalline AlInMo2Pb at its relaxed geometry.

Unit cell a=5.454 b=5.115 c=5.454 alpha=90.00 beta=90.00 gamma=90.00
Each line ends with the local moment (μB).
Fractional positions:
In1 0.500 0.500 0.500  -0.04
Mo1 0.500 0.000 0.000  2.50
Pb1 0.000 0.000 0.000  -0.06
Al1 0.000 0.500 0.000  0.00
Mo2 0.000 0.000 0.500  2.79

Properties
* SG: P4/mmm (123)

(2)
The following is a DFT calculation (PBE) of crystalline Zr2TePb at its relaxed geometry.

Unit cell a=5.101 b=5.101 c=5.101 alpha=60.00 beta=60.00 gamma=60.00
Fractional positions:
Te1 0.000 0.000 0.000
Pb1 0.500 0.500 0.500
Zr1 0.750 0.750 0.750
Zr2 0.250 0.250 0.250

Properties
* formation energy (no corrections): -0.297 eV/atom
* energy relative to the lowest polymorph listed for this composition: 139.1 meV per atom
* SG: Fm-3m (225)

(3)
The following is a DFT calculation (PBE) of crystalline HoScCdHg at its relaxed geometry.

Unit cell a=5.126 b=5.126 c=5.126 alpha=60.00 beta=60.00 gamma=60.00
Each line ends with the local moment (μB).
Fractional positions:
Hg1 0.250 0.250 0.250  0.01
Sc1 0.000 0.000 0.000  0.12
Ho1 0.500 0.500 0.500  0.06
Cd1 0.750 0.750 0.750  0.01

Properties
* SG: F-43m (216)

(4)
The following is a DFT calculation (PBE) of crystalline Zn2AgSbBr at its relaxed geometry.

Unit cell a=4.941 b=4.941 c=5.572 alpha=90.00 beta=90.00 gamma=90.00
Fractional positions:
Br1 0.000 0.000 0.500
Sb1 0.500 0.500 0.500
Ag1 0.000 0.000 0.000
Zn1 0.000 0.500 0.000
Zn2 0.500 0.000 0.000

Properties
* formation energy (no corrections): 0.494 eV/atom
* SG: P4/mmm (123)

(5)
The following is a DFT calculation (PBE) of crystalline HoAlAu at its relaxed geometry.

Unit cell a=4.654 b=4.654 c=4.654 alpha=60.00 beta=60.00 gamma=60.00
Fractional positions:
Al1 0.000 0.000 0.000
Au1 0.250 0.250 0.250
Ho1 0.500 0.500 0.500

Properties
* SG: F-43m (216)

(6)
The following is a DFT calculation (PBE) of crystalline Ce2Mn3C4 at its relaxed geometry.

Unit cell a=5.206 b=5.208 c=8.899 alpha=90.00 beta=107.01 gamma=90.00
Each line ends with the local moment (μB).
Fractional positions:
Mn1 0.500 0.750 0.500  0.77
C1 0.750 0.250 0.000  0.00
C2 0.250 0.750 0.000  0.00
Ce1 0.103 0.500 0.207  0.01
Mn2 0.000 0.000 0.000  -0.04
Mn3 0.500 0.250 0.500  0.77
C3 0.709 0.500 0.419  -0.05
Ce2 0.397 0.000 0.793  0.01
C4 0.791 0.000 0.581  -0.05
Ce3 0.897 0.500 0.793  0.01
Mn4 0.000 0.250 0.500  0.77
Mn5 0.500 0.500 0.000  -0.04
C5 0.291 0.500 0.581  -0.05
C6 0.209 0.000 0.419  -0.05
Mn6 0.000 0.750 0.500  0.77
C7 0.750 0.750 0.000  0.00
C8 0.250 0.250 0.000  0.00
Ce4 0.603 0.000 0.207  0.01

Properties
* SG: I4/mmm (139)

(7)
The following is a DFT calculation (PBE) of crystalline Y5Zn6 at its relaxed geometry.

Unit cell a=4.946 b=7.192 c=8.671 alpha=114.50 beta=106.57 gamma=90.00
Fractional positions:
Zn1 0.165 0.416 0.330
Y1 0.648 0.148 0.296
Y2 0.000 0.500 0.000
Zn2 0.835 0.086 0.670
Y3 0.325 0.325 0.651
Y4 0.352 0.852 0.704
Zn3 0.835 0.584 0.670
Zn4 0.500 0.722 0.000
Zn5 0.165 0.914 0.330
Y5 0.675 0.675 0.349
Zn6 0.500 0.278 0.000

Properties
* SG: Immm (71)

(8)
The following is a DFT calculation (PBE) of crystalline Li3HfRh at its relaxed geometry.

Unit cell a=4.391 b=4.391 c=4.391 alpha=90.00 beta=90.00 gamma=90.00
Fractional positions:
Rh1 0.000 0.000 0.000
Li1 0.000 0.000 0.500
Hf1 0.500 0.500 0.500
Li2 0.500 0.000 0.000
Li3 0.000 0.500 0.000

Properties
* energy relative to the lowest polymorph listed for this composition: 0.0 meV per atom
* SG: Pm-3m (221)

Final energy (eV per atom)
-4.466 -6.284 -3.401 -1.745 -4.462 -8.587 -3.839 -4.045
Total magnetic moment (μB/f.u.)
5.97 0.00 0.27 0.00 0.00 1.45 0.00 0.00